# 1
{"formula": "Ce8Os2Au", "functional": "PBE-GGA", "state": "relaxed", "lattice": [[8.566, -2.274, 0.000], [8.566, 2.274, 0.000], [-1.692, 0.000, 7.104]], "species": ["Ce", "Ce", "Ce", "Ce", "Ce", "Ce", "Ce", "Ce", "Os", "Os", "Au"], "frac_coords": [[0.011, 0.011, 0.233], [0.213, 0.213, 0.802], [0.327, 0.327, 0.561], [0.415, 0.415, 0.050], [0.585, 0.585, 0.950], [0.673, 0.673, 0.439], [0.787, 0.787, 0.198], [0.989, 0.989, 0.767], [0.168, 0.168, 0.154], [0.832, 0.832, 0.846], [0.500, 0.500, 0.500]], "formation_energy_ev_per_atom": -0.17, "de_polymorph_mev_per_atom": 0, "spacegroup": "No. 12"}

=====

# 2
{"formula": "TlFe2Rh", "functional": "PBE-GGA", "state": "relaxed", "lattice": [[3.068, 0.000, 0.000], [0.000, 3.068, 0.000], [0.000, 0.000, 6.449]], "species": ["Tl", "Fe", "Fe", "Rh"], "frac_coords": [[0.000, 0.000, 0.000], [0.000, 0.000, 0.477], [0.500, 0.500, 0.281], [0.500, 0.500, 0.706]], "formation_energy_ev_per_atom": 0.23, "de_polymorph_mev_per_atom": 0, "spacegroup": "No. 99"}

=====

# 3
{"formula": "AcLaTb2", "functional": "PBE-GGA", "state": "relaxed", "lattice": [[0.000, 4.181, 4.181], [4.181, 0.000, 4.181], [4.181, 4.181, 0.000]], "species": ["Ac", "La", "Tb", "Tb"], "frac_coords": [[0.000, 0.000, 0.000], [0.500, 0.500, 0.500], [0.250, 0.250, 0.250], [0.750, 0.750, 0.750]], "formation_energy_ev_per_atom": 0.10, "de_polymorph_mev_per_atom": 67, "spacegroup": "No. 225"}

=====

# 4
{"formula": "Tb5Y8Ho", "functional": "PBE-GGA", "state": "relaxed", "lattice": [[-4.791, 4.791, 5.055], [4.791, -4.791, 5.055], [4.791, 4.791, -5.055]], "species": ["Tb", "Tb", "Tb", "Tb", "Tb", "Y", "Y", "Y", "Y", "Y", "Y", "Y", "Y", "Ho"], "frac_coords": [[0.000, 0.000, 0.000], [0.212, 0.534, 0.897], [0.466, 0.363, 0.678], [0.637, 0.315, 0.103], [0.685, 0.788, 0.322], [0.162, 0.072, 0.740], [0.332, 0.422, 0.260], [0.418, 0.024, 0.252], [0.578, 0.838, 0.910], [0.772, 0.166, 0.748], [0.834, 0.582, 0.606], [0.928, 0.668, 0.090], [0.976, 0.228, 0.394], [0.250, 0.750, 0.500]], "formation_energy_ev_per_atom": 0.25, "spacegroup": "No. 82"}

=====

# 5
{"formula": "BaMoCl", "functional": "PBE-GGA", "state": "relaxed", "lattice": [[3.937, 0.000, 0.000], [-1.968, 3.409, 0.000], [0.000, 0.000, 7.095]], "species": ["Ba", "Mo", "Cl"], "frac_coords": [[0.000, 0.000, 0.000], [0.333, 0.667, 0.631], [0.667, 0.333, 0.310]], "raw_formation_energy_ev_per_atom": 0.491, "de_polymorph_mev_per_atom": 1123, "spacegroup": "No. 156"}

=====

# 6
{"formula": "PmPr6Tm6", "functional": "PBE-GGA", "state": "relaxed", "lattice": [[6.743, 0.000, 0.000], [-3.372, 5.840, 0.000], [0.000, 0.000, 11.478]], "species": ["Pm", "Pr", "Pr", "Pr", "Pr", "Pr", "Pr", "Tm", "Tm", "Tm", "Tm", "Tm", "Tm"], "frac_coords": [[0.000, 0.000, 0.000], [0.000, 0.000, 0.344], [0.000, 0.000, 0.656], [0.333, 0.667, 0.000], [0.333, 0.667, 0.500], [0.667, 0.333, 0.000], [0.667, 0.333, 0.500], [0.000, 0.500, 0.246], [0.000, 0.500, 0.754], [0.500, 0.000, 0.246], [0.500, 0.000, 0.754], [0.500, 0.500, 0.246], [0.500, 0.500, 0.754]], "formation_energy_ev_per_atom": 0.24, "spacegroup": "No. 191"}

=====

# 7
{"formula": "ScTcPS2", "functional": "PBE-GGA", "state": "relaxed", "lattice": [[4.813, 0.000, 0.000], [0.000, 4.813, 0.000], [0.000, 0.000, 5.023]], "species": ["Sc", "Tc", "P", "S", "S"], "frac_coords": [[0.000, 0.000, 0.000], [0.500, 0.500, 0.500], [0.000, 0.000, 0.500], [0.000, 0.500, 0.000], [0.500, 0.000, 0.000]], "raw_formation_energy_ev_per_atom": 0.476, "de_polymorph_mev_per_atom": 535, "spacegroup": "No. 123"}

=====

# 8
{"formula": "PmGa5Ni2", "functional": "PBE-GGA", "state": "relaxed", "lattice": [[-1.991, 3.488, 4.848], [1.991, -3.488, 4.848], [1.991, 3.488, -4.848]], "species": ["Pm", "Ga", "Ga", "Ga", "Ga", "Ga", "Ni", "Ni"], "frac_coords": [[0.000, 0.000, 0.000], [0.153, 0.346, 0.807], [0.460, 0.654, 0.807], [0.500, 0.000, 0.500], [0.540, 0.346, 0.193], [0.847, 0.654, 0.193], [0.262, 0.762, 0.500], [0.738, 0.238, 0.500]], "formation_energy_ev_per_atom": -0.50, "spacegroup": "No. 71"}

=====

# 9
{"formula": "GaSi2H", "functional": "PBE-GGA", "state": "relaxed", "lattice": [[0.000, 2.999, 2.999], [2.999, 0.000, 2.999], [2.999, 2.999, 0.000]], "species": ["Ga", "Si", "Si", "H"], "frac_coords": [[0.000, 0.000, 0.000], [0.250, 0.250, 0.250], [0.750, 0.750, 0.750], [0.500, 0.500, 0.500]], "de_polymorph_mev_per_atom": 257, "spacegroup": "No. 225"}

=====

# 10
{"formula": "HgAsW", "functional": "PBE-GGA", "state": "relaxed", "lattice": [[3.147, 0.000, 0.000], [-1.574, 2.726, 0.000], [0.000, 0.000, 6.864]], "species": ["Hg", "As", "W"], "frac_coords": [[0.000, 0.000, 0.000], [0.333, 0.667, 0.600], [0.667, 0.333, 0.346]], "formation_energy_ev_per_atom": 0.43, "de_polymorph_mev_per_atom": 0, "spacegroup": "No. 156"}

=====

# 11
{"formula": "MnGe2Pt4", "functional": "PBE-GGA", "state": "relaxed", "lattice": [[-2.370, 2.370, 6.211], [2.370, -2.370, 6.211], [2.370, 2.370, -6.211]], "species": ["Mn", "Ge", "Ge", "Pt", "Pt", "Pt", "Pt"], "frac_coords": [[0.000, 0.000, 0.000], [0.391, 0.391, 0.000], [0.609, 0.609, 0.000], [0.000, 0.500, 0.500], [0.201, 0.201, 0.000], [0.500, 0.000, 0.500], [0.799, 0.799, 0.000]], "formation_energy_ev_per_atom": 0.47, "spacegroup": "No. 139"}

=====

# 12
{"formula": "Ac2YAsO8", "functional": "PBE-GGA", "state": "relaxed", "lattice": [[5.643, 0.000, 0.000], [-2.821, 4.887, 0.000], [0.000, 0.000, 6.213]], "species": ["Ac", "Ac", "Y", "As", "O", "O", "O", "O", "O", "O", "O", "O"], "frac_coords": [[0.333, 0.667, 0.360], [0.667, 0.333, 0.640], [0.000, 0.000, 0.000], [0.000, 0.000, 0.500], [0.152, 0.304, 0.680], [0.152, 0.848, 0.680], [0.304, 0.152, 0.320], [0.333, 0.667, 0.013], [0.667, 0.333, 0.987], [0.696, 0.848, 0.680], [0.848, 0.152, 0.320], [0.848, 0.696, 0.320]], "raw_formation_energy_ev_per_atom": -2.153, "spacegroup": "No. 164"}